First-principles (PBE) data for a relaxed KPuBr6 crystal, as listed in Alexandria.

Properties
size of the total moment = 3.0 μB/f.u.
uncorrected formation energy = -1.23 eV/atom
N(E_F) = 10.5 states/eV/f.u.
energy above the lowest structure with this stoichiometry = 0 meV per atom

Cell lengths 7.3862, 7.4074, 7.9925 Å; angles 62.54, 62.56, 60.04 degrees
Last column: magnetic moment on the atom in μB.
Fractional positions:
K (0.5000, 0.5000, 0.5000)  0.00
Pu (0.0000, 0.0000, 0.0000)  4.01
Br (0.0254, 0.3966, 0.7706)  -0.13
Br (0.8058, 0.0250, 0.7708)  -0.13
Br (0.6026, 0.1934, 0.2295)  -0.13
Br (0.1942, 0.9750, 0.2292)  -0.13
Br (0.9746, 0.6034, 0.2294)  -0.13
Br (0.3974, 0.8066, 0.7705)  -0.13